Entry from Alexandria: an optimized crystal structure of ReSnPRh2 (PBE). Values from VASP.

Quantum ESPRESSO input file:
```
&SYSTEM
  ibrav = 0, nat = 5, ntyp = 4
/
ATOMIC_SPECIES
Re 186.21 Re.upf
Sn 118.71 Sn.upf
P 30.97 P.upf
Rh 102.91 Rh.upf
CELL_PARAMETERS angstrom
4.3962 0.0000 0.0000
0.0000 4.3962 0.0000
0.0000 0.0000 4.4634
ATOMIC_POSITIONS crystal
Re 0.0000 0.0000 0.0000
Sn 0.5000 0.5000 0.0000
P 0.0000 0.0000 0.5000
Rh 0.0000 0.5000 0.5000
Rh 0.5000 0.0000 0.5000
```

Fermi-level density of states   3.435 states/eV/cell
Density   10.4 Mg/m³
ΔH_f (0 K)   0.202 eV/atom
Space-group type   P4/mmm (123)

Entry from Alexandria: an optimized crystal structure of SrReP2Rh (PBE). Values from VASP.

Quantum ESPRESSO input file:
```
&SYSTEM
  ibrav = 0, nat = 5, ntyp = 4
/
ATOMIC_SPECIES
Sr 87.62 Sr.upf
Re 186.21 Re.upf
P 30.97 P.upf
Rh 102.91 Rh.upf
CELL_PARAMETERS angstrom
4.5283 0.0000 0.0000
0.0000 4.5283 0.0000
0.0000 0.0000 5.9289
ATOMIC_POSITIONS crystal
Sr 0.0000 0.0000 0.0000
Re 0.0000 0.0000 0.5000
P 0.0000 0.5000 0.5000
P 0.5000 0.0000 0.5000
Rh 0.5000 0.5000 0.0000
```

Fermi-level density of states   4.703 states/eV/cell
Density   6.0 Mg/m³
ΔH_f (0 K)   0.653 eV/atom
Space-group type   P4/mmm (123)